Below is a geometry-optimized K2RbSmF6 structure, with properties calculated at the PBE-GGA level.

**Total magnetization**: 0.7 Bohr magnetons per cell
**N(E_F)**: 0.000 states/eV/cell
**Raw total energy**: -104.31 eV for the cell shown
**Space-group type**: P2_1/c, No. 14
**Crystal system**: monoclinic
**E_form (uncorrected)**: -3.304 eV per atom

a b c (Å): 6.550 6.846 11.322
angles (deg): 90.00 123.92 90.00
Sites, in units of the cell vectors:
K 0.220 0.044 0.229
K 0.220 0.456 0.729
K 0.780 0.544 0.271
K 0.780 0.956 0.771
Rb 0.000 0.000 0.500
Rb 0.000 0.500 0.000
Sm 0.500 0.000 0.000
Sm 0.500 0.500 0.500
F 0.170 0.161 0.962
F 0.170 0.339 0.462
F 0.248 0.735 0.905
F 0.248 0.765 0.405
F 0.407 0.092 0.783
F 0.407 0.408 0.283
F 0.593 0.592 0.717
F 0.593 0.908 0.217
F 0.752 0.235 0.595
F 0.752 0.265 0.095
F 0.830 0.661 0.538
F 0.830 0.839 0.038